1.
This record from the Alexandria database describes a relaxed structure of BaTlAg2. The functional is PBE-GGA.

Lattice parameters (Å, degrees): 8.346 4.734 11.544 90.00 90.00 90.00
Fractional coordinates of all 16 atoms:
Ba 0.227 0.250 0.188
Ba 0.273 0.750 0.688
Ba 0.727 0.250 0.312
Ba 0.773 0.750 0.812
Tl 0.053 0.750 0.392
Tl 0.447 0.250 0.892
Tl 0.553 0.750 0.108
Tl 0.947 0.250 0.608
Ag 0.064 0.250 0.913
Ag 0.243 0.750 0.974
Ag 0.257 0.250 0.474
Ag 0.436 0.750 0.413
Ag 0.564 0.250 0.587
Ag 0.743 0.750 0.526
Ag 0.757 0.250 0.026
Ag 0.936 0.750 0.087

## Properties
**Symmetry**: Pnma, No. 62
**DFT formation energy**: -0.22 eV per atom
**Excess energy over the best structure of this formula in the dataset**: 0 meV/atom

=====

2.
This record from the Alexandria database describes a relaxed structure of MgZn2F6. The functional is PBE-GGA.

Lattice parameters (Å, degrees): 4.761 4.761 9.467 90.00 90.00 90.00
Fractional coordinates of all 18 atoms:
Mg 0.000 0.000 0.000
Mg 0.500 0.500 0.500
Zn 0.000 0.000 0.334
Zn 0.000 0.000 0.666
Zn 0.500 0.500 0.166
Zn 0.500 0.500 0.834
F 0.194 0.194 0.163
F 0.194 0.194 0.837
F 0.200 0.200 0.500
F 0.300 0.700 0.000
F 0.306 0.694 0.337
F 0.306 0.694 0.663
F 0.694 0.306 0.337
F 0.694 0.306 0.663
F 0.700 0.300 0.000
F 0.800 0.800 0.500
F 0.806 0.806 0.163
F 0.806 0.806 0.837

## Properties
**Uncorrected formation energy**: -2.726 eV per atom
**Symmetry**: P4_2/mnm, No. 136

=====

3.
This record from the Alexandria database describes a relaxed structure of ZrB3Mo. The functional is PBE-GGA.

Lattice parameters (Å, degrees): 9.851 9.851 3.151 90.00 90.00 160.16
Fractional coordinates of all 10 atoms:
Zr 0.072 0.928 0.750
Zr 0.928 0.072 0.250
B 0.331 0.669 0.250
B 0.380 0.620 0.750
B 0.477 0.523 0.750
B 0.523 0.477 0.250
B 0.620 0.380 0.250
B 0.669 0.331 0.750
Mo 0.205 0.795 0.250
Mo 0.795 0.205 0.750

## Properties
**Symmetry**: Cmcm, No. 63
**DFT formation energy**: -0.74 eV per atom
**Excess energy over the best structure of this formula in the dataset**: 0 meV/atom

=====

4.
This record from the Alexandria database describes a relaxed structure of LiLaAl. The functional is PBE-GGA.

Lattice parameters (Å, degrees): 7.147 7.147 4.729 90.00 90.00 120.00
Fractional coordinates of all 9 atoms:
Li 0.000 0.000 0.000
Li 0.333 0.667 0.500
Li 0.667 0.333 0.500
La 0.000 0.420 0.000
La 0.420 0.000 0.000
La 0.580 0.580 0.000
Al 0.000 0.775 0.500
Al 0.225 0.225 0.500
Al 0.775 0.000 0.500

## Properties
**Symmetry**: P-62m, No. 189
**DFT formation energy**: -0.22 eV per atom
**Excess energy over the best structure of this formula in the dataset**: 12 meV/atom

=====

5.
This record from the Alexandria database describes a relaxed structure of Rb3ErSc3Te8. The functional is PBE-GGA.

Lattice parameters (Å, degrees): 8.472 8.472 10.066 114.90 114.90 60.01
Fractional coordinates of all 15 atoms:
Rb 0.000 0.000 0.000
Rb 0.000 0.500 0.000
Rb 0.500 0.000 0.000
Er 0.000 0.000 0.500
Sc 0.000 0.500 0.500
Sc 0.500 0.000 0.500
Sc 0.500 0.500 0.500
Te 0.238 0.238 0.695
Te 0.238 0.719 0.695
Te 0.270 0.270 0.310
Te 0.281 0.762 0.305
Te 0.719 0.238 0.695
Te 0.730 0.730 0.690
Te 0.762 0.281 0.305
Te 0.762 0.762 0.305

## Properties
**Uncorrected formation energy**: -1.218 eV per atom
**Symmetry**: C2/m, No. 12

=====

6.
This record from the Alexandria database describes a relaxed structure of LaSb2Rh. The functional is PBE-GGA.

Lattice parameters (Å, degrees): 3.557 4.175 13.748 90.00 90.00 90.00
Fractional coordinates of all 8 atoms:
La 0.000 0.000 0.000
La 0.500 0.500 0.500
Sb 0.000 0.000 0.621
Sb 0.000 0.500 0.821
Sb 0.500 0.000 0.321
Sb 0.500 0.500 0.121
Rh 0.000 0.500 0.264
Rh 0.500 0.000 0.764

## Properties
**Uncorrected formation energy**: -0.564 eV per atom
**Symmetry**: Imm2, No. 44